Model 1:
# NiIBrN2

A relaxed NiIBrN2 crystal (PBE-GGA, Alexandria via LeMat-Bulk).

Cell lengths 3.953, 3.953, 6.147 Å; angles 90.00, 90.00, 90.00 degrees
Last column: magnetic moment on the atom in μB.
Fractional positions:
Br: 0.500 0.500 0.500  0.02
Ni: 0.000 0.000 0.000  0.84
N: 0.000 0.500 0.000  1.11
N: 0.500 0.000 0.000  1.11
I: 0.000 0.000 0.500  0.10

Output
N(E_F) (states/eV/f.u.): 1.1
Space group: P4/mmm
Calculated density (Mg/m³): 5.07

Model 2:
# NiIBrN2

A relaxed NiIBrN2 crystal (PBE-GGA, Alexandria via LeMat-Bulk).

Cell lengths 3.802, 3.802, 7.959 Å; angles 90.00, 90.00, 90.00 degrees
Fractional positions:
I: 0.000 0.000 0.500
Ni: 0.500 0.500 0.500
Br: 0.000 0.000 0.000
N: 0.500 0.000 0.000
N: 0.000 0.500 0.000

Output
N(E_F) (states/eV/f.u.): 10.5
Space group: P4/mmm
Calculated density (Mg/m³): 4.24

On energetic grounds, model 1 is preferred over the next structure by 655 meV/atom.

Model 1:
# OsI2BrN

A relaxed OsI2BrN crystal (PBE-GGA, Alexandria via LeMat-Bulk).

Cell lengths 6.160, 6.160, 3.651 Å; angles 90.00, 90.00, 90.00 degrees
Last column: magnetic moment on the atom in μB.
Fractional positions:
N: 0.000 0.000 0.500  -0.07
Os: 0.500 0.500 0.500  2.80
I: 0.000 0.500 0.000  0.08
I: 0.500 0.000 0.000  0.08
Br: 0.000 0.000 0.000  -0.02

Output
N(E_F) (states/eV/f.u.): 6.6
Space group: P4/mmm
Calculated density (Mg/m³): 6.45

Model 2:
# OsI2BrN

A relaxed OsI2BrN crystal (PBE-GGA, Alexandria via LeMat-Bulk).

Cell lengths 5.653, 5.653, 3.735 Å; angles 90.00, 90.00, 90.00 degrees
Fractional positions:
I: 0.500 0.000 0.000
Br: 0.500 0.500 0.500
I: 0.000 0.500 0.000
N: 0.000 0.000 0.500
Os: 0.000 0.000 0.000

Output
N(E_F) (states/eV/f.u.): 2.9
Space group: P4/mmm
Calculated density (Mg/m³): 7.48

On energetic grounds, model 2 is preferred over the next structure by 1763 meV/atom.

Model 1:
# PIBrN2

A relaxed PIBrN2 crystal (PBE-GGA, Alexandria via LeMat-Bulk).

Cell lengths 3.954, 3.954, 8.226 Å; angles 90.00, 90.00, 90.00 degrees
Last column: magnetic moment on the atom in μB.
Fractional positions:
N: 0.500 0.000 0.000  0.51
Br: 0.000 0.000 0.000  -0.04
I: 0.000 0.000 0.500  0.02
P: 0.500 0.500 0.500  0.12
N: 0.000 0.500 0.000  0.51

Output
N(E_F) (states/eV/f.u.): 4.6
Space group: P4/mmm
Calculated density (Mg/m³): 3.43

Model 2:
# PIBrN2

A relaxed PIBrN2 crystal (PBE-GGA, Alexandria via LeMat-Bulk).

Cell lengths 3.785, 3.785, 7.290 Å; angles 90.00, 90.00, 90.00 degrees
Last column: magnetic moment on the atom in μB.
Fractional positions:
P: 0.000 0.000 0.000  -0.01
I: 0.000 0.000 0.500  0.00
N: 0.000 0.500 0.000  0.23
Br: 0.500 0.500 0.500  0.00
N: 0.500 0.000 0.000  0.23

Output
N(E_F) (states/eV/f.u.): 3.1
Space group: P4/mmm
Calculated density (Mg/m³): 4.23

On energetic grounds, model 2 is preferred over the next structure by 840 meV/atom.

Model 1:
# PbIBrN2

A relaxed PbIBrN2 crystal (PBE-GGA, Alexandria via LeMat-Bulk).

Cell lengths 4.673, 4.673, 7.656 Å; angles 90.00, 90.00, 90.00 degrees
Last column: magnetic moment on the atom in μB.
Fractional positions:
Br: 0.000 0.000 0.000  0.10
I: 0.000 0.000 0.500  0.00
N: 0.000 0.500 0.000  1.23
N: 0.500 0.000 0.000  1.23
Pb: 0.500 0.500 0.500  -0.19

Output
N(E_F) (states/eV/f.u.): 2.7
Space group: P4/mmm
Calculated density (Mg/m³): 4.39

Model 2:
# PbIBrN2

A relaxed PbIBrN2 crystal (PBE-GGA, Alexandria via LeMat-Bulk).

Cell lengths 4.539, 4.539, 6.921 Å; angles 90.00, 90.00, 90.00 degrees
Last column: magnetic moment on the atom in μB.
Fractional positions:
Br: 0.500 0.500 0.500  0.03
Pb: 0.000 0.000 0.000  -0.09
N: 0.000 0.500 0.000  0.98
I: 0.000 0.000 0.500  0.04
N: 0.500 0.000 0.000  0.98

Output
N(E_F) (states/eV/f.u.): 4.1
Space group: P4/mmm
Calculated density (Mg/m³): 5.15

On energetic grounds, model 2 is preferred over the next structure by 306 meV/atom.

Model 1:
# RbI2BrN

A relaxed RbI2BrN crystal (PBE-GGA, Alexandria via LeMat-Bulk).

Cell lengths 6.994, 6.994, 5.954 Å; angles 90.00, 90.00, 90.00 degrees
Last column: magnetic moment on the atom in μB.
Fractional positions:
N: 0.000 0.000 0.500  1.92
I: 0.500 0.000 0.000  0.40
I: 0.000 0.500 0.000  0.40
Rb: 0.000 0.000 0.000  0.02
Br: 0.500 0.500 0.500  0.56

Output
N(E_F) (states/eV/f.u.): 7.6
Space group: P4/mmm
Calculated density (Mg/m³): 2.47

Model 2:
# RbI2BrN

A relaxed RbI2BrN crystal (PBE-GGA, Alexandria via LeMat-Bulk).

Cell lengths 7.261, 7.261, 3.740 Å; angles 90.00, 90.00, 90.00 degrees
Last column: magnetic moment on the atom in μB.
Fractional positions:
N: 0.000 0.000 0.500  0.00
I: 0.000 0.500 0.000  0.07
Br: 0.000 0.000 0.000  0.00
Rb: 0.500 0.500 0.500  0.00
I: 0.500 0.000 0.000  0.07

Output
N(E_F) (states/eV/f.u.): 5.3
Space group: P4/mmm
Calculated density (Mg/m³): 3.65

On energetic grounds, model 2 is preferred over the next structure by 503 meV/atom.

Model 1:
# ReIBrN2

A relaxed ReIBrN2 crystal (PBE-GGA, Alexandria via LeMat-Bulk).

Cell lengths 3.970, 3.970, 5.875 Å; angles 90.00, 90.00, 90.00 degrees
Fractional positions:
I: 0.000 0.000 0.500
Br: 0.500 0.500 0.500
Re: 0.000 0.000 0.000
N: 0.000 0.500 0.000
N: 0.500 0.000 0.000

Output
N(E_F) (states/eV/f.u.): 3.6
Space group: P4/mmm
Calculated density (Mg/m³): 7.55

Model 2:
# ReIBrN2

A relaxed ReIBrN2 crystal (PBE-GGA, Alexandria via LeMat-Bulk).

Cell lengths 4.008, 4.008, 7.029 Å; angles 90.00, 90.00, 90.00 degrees
Last column: magnetic moment on the atom in μB.
Fractional positions:
Re: 0.500 0.500 0.500  3.07
N: 0.500 0.000 0.000  0.55
N: 0.000 0.500 0.000  0.55
I: 0.000 0.000 0.500  0.05
Br: 0.000 0.000 0.000  -0.04

Output
N(E_F) (states/eV/f.u.): 3.1
Space group: P4/mmm
Calculated density (Mg/m³): 6.19

On energetic grounds, model 1 is preferred over the next structure by 2023 meV/atom.

Model 1:
# RhIBrN2

A relaxed RhIBrN2 crystal (PBE-GGA, Alexandria via LeMat-Bulk).

Cell lengths 3.829, 3.829, 8.136 Å; angles 90.00, 90.00, 90.00 degrees
Last column: magnetic moment on the atom in μB.
Fractional positions:
N: 0.000 0.500 0.000  0.00
I: 0.000 0.000 0.500  0.02
Br: 0.000 0.000 0.000  0.00
Rh: 0.500 0.500 0.500  0.23
N: 0.500 0.000 0.000  0.00

Output
N(E_F) (states/eV/f.u.): 6.3
Space group: P4/mmm
Calculated density (Mg/m³): 4.70

Model 2:
# RhIBrN2

A relaxed RhIBrN2 crystal (PBE-GGA, Alexandria via LeMat-Bulk).

Cell lengths 3.915, 3.915, 8.341 Å; angles 90.00, 90.00, 90.00 degrees
Last column: magnetic moment on the atom in μB.
Fractional positions:
I: 0.000 0.000 0.500  0.00
Br: 0.500 0.500 0.500  0.00
N: 0.000 0.500 0.000  0.15
N: 0.500 0.000 0.000  0.15
Rh: 0.000 0.000 0.000  -0.05

Output
N(E_F) (states/eV/f.u.): 3.3
Space group: P4/mmm
Calculated density (Mg/m³): 4.39

On energetic grounds, model 2 is preferred over the next structure by 959 meV/atom.

Model 1:
# RhI2BrN

A relaxed RhI2BrN crystal (PBE-GGA, Alexandria via LeMat-Bulk).

Cell lengths 5.791, 5.791, 3.679 Å; angles 90.00, 90.00, 90.00 degrees
Fractional positions:
N: 0.000 0.000 0.500
I: 0.500 0.000 0.000
Br: 0.500 0.500 0.500
I: 0.000 0.500 0.000
Rh: 0.000 0.000 0.000

Output
N(E_F) (states/eV/f.u.): 6.5
Space group: P4/mmm
Calculated density (Mg/m³): 6.06

Model 2:
# RhI2BrN

A relaxed RhI2BrN crystal (PBE-GGA, Alexandria via LeMat-Bulk).

Cell lengths 5.031, 4.535, 5.031 Å; angles 90.00, 90.00, 90.00 degrees
Last column: magnetic moment on the atom in μB.
Fractional positions:
Br: 0.000 0.500 0.000  0.05
Rh: 0.500 0.500 0.500  1.54
N: 0.000 0.000 0.000  -0.01
I: 0.500 0.000 0.000  0.14
I: 0.000 0.000 0.500  0.14

Output
N(E_F) (states/eV/f.u.): 5.6
Space group: P4/mmm
Calculated density (Mg/m³): 6.52

Model 3:
# RhI2BrN

A relaxed RhI2BrN crystal (PBE-GGA, Alexandria via LeMat-Bulk).

Cell lengths 6.156, 6.156, 3.682 Å; angles 90.00, 90.00, 90.00 degrees
Last column: magnetic moment on the atom in μB.
Fractional positions:
Rh: 0.500 0.500 0.500  1.56
N: 0.000 0.000 0.500  -0.06
I: 0.000 0.500 0.000  0.12
I: 0.500 0.000 0.000  0.12
Br: 0.000 0.000 0.000  0.00

Output
N(E_F) (states/eV/f.u.): 7.9
Space group: P4/mmm
Calculated density (Mg/m³): 5.36

On energetic grounds, model 1 is preferred over the next structure by 833 meV/atom.

Model 1:
# RuI2BrN

A relaxed RuI2BrN crystal (PBE-GGA, Alexandria via LeMat-Bulk).

Cell lengths 6.178, 6.178, 3.706 Å; angles 90.00, 90.00, 90.00 degrees
Last column: magnetic moment on the atom in μB.
Fractional positions:
I: 0.500 0.000 0.000  0.09
Br: 0.000 0.000 0.000  -0.01
N: 0.000 0.000 0.500  -0.09
Ru: 0.500 0.500 0.500  2.69
I: 0.000 0.500 0.000  0.09

Output
N(E_F) (states/eV/f.u.): 5.7
Space group: P4/mmm
Calculated density (Mg/m³): 5.27

Model 2:
# RuI2BrN

A relaxed RuI2BrN crystal (PBE-GGA, Alexandria via LeMat-Bulk).

Cell lengths 5.670, 5.670, 3.710 Å; angles 90.00, 90.00, 90.00 degrees
Fractional positions:
I: 0.500 0.000 0.000
N: 0.000 0.000 0.500
Br: 0.500 0.500 0.500
Ru: 0.000 0.000 0.000
I: 0.000 0.500 0.000

Output
N(E_F) (states/eV/f.u.): 3.9
Space group: P4/mmm
Calculated density (Mg/m³): 6.25

On energetic grounds, model 2 is preferred over the next structure by 1376 meV/atom.

Model 1:
# RuIBrN2

A relaxed RuIBrN2 crystal (PBE-GGA, Alexandria via LeMat-Bulk).

Cell lengths 3.952, 3.952, 5.839 Å; angles 90.00, 90.00, 90.00 degrees
Last column: magnetic moment on the atom in μB.
Fractional positions:
N: 0.000 0.500 0.000  0.12
Br: 0.500 0.500 0.500  0.00
Ru: 0.000 0.000 0.000  -0.05
I: 0.000 0.000 0.500  0.01
N: 0.500 0.000 0.000  0.12

Output
N(E_F) (states/eV/f.u.): 4.1
Space group: P4/mmm
Calculated density (Mg/m³): 6.12

Model 2:
# RuIBrN2

A relaxed RuIBrN2 crystal (PBE-GGA, Alexandria via LeMat-Bulk).

Cell lengths 3.925, 3.925, 7.506 Å; angles 90.00, 90.00, 90.00 degrees
Last column: magnetic moment on the atom in μB.
Fractional positions:
Br: 0.000 0.000 0.000  -0.01
Ru: 0.500 0.500 0.500  2.08
N: 0.000 0.500 0.000  0.36
I: 0.000 0.000 0.500  0.11
N: 0.500 0.000 0.000  0.36

Output
N(E_F) (states/eV/f.u.): 6.4
Space group: P4/mmm
Calculated density (Mg/m³): 4.82

On energetic grounds, model 1 is preferred over the next structure by 1351 meV/atom.

Model 1:
# SbIBrN2

A relaxed SbIBrN2 crystal (PBE-GGA, Alexandria via LeMat-Bulk).

Cell lengths 4.138, 4.138, 7.625 Å; angles 90.00, 90.00, 90.00 degrees
Last column: magnetic moment on the atom in μB.
Fractional positions:
N: 0.000 0.500 0.000  0.45
Sb: 0.000 0.000 0.000  -0.06
N: 0.500 0.000 0.000  0.45
I: 0.000 0.000 0.500  -0.01
Br: 0.500 0.500 0.500  0.00

Output
N(E_F) (states/eV/f.u.): 2.1
Space group: P4/mmm
Calculated density (Mg/m³): 4.54

Model 2:
# SbIBrN2

A relaxed SbIBrN2 crystal (PBE-GGA, Alexandria via LeMat-Bulk).

Cell lengths 4.286, 4.286, 7.373 Å; angles 90.00, 90.00, 90.00 degrees
Last column: magnetic moment on the atom in μB.
Fractional positions:
I: 0.000 0.000 0.500  0.00
N: 0.000 0.500 0.000  0.97
Br: 0.000 0.000 0.000  0.04
Sb: 0.500 0.500 0.500  0.16
N: 0.500 0.000 0.000  0.97

Output
N(E_F) (states/eV/f.u.): 2.8
Space group: P4/mmm
Calculated density (Mg/m³): 4.37

On energetic grounds, model 1 is preferred over the next structure by 808 meV/atom.

Model 1:
# SeI2BrN

A relaxed SeI2BrN crystal (PBE-GGA, Alexandria via LeMat-Bulk).

Cell lengths 7.513, 7.513, 3.534 Å; angles 90.00, 90.00, 90.00 degrees
Last column: magnetic moment on the atom in μB.
Fractional positions:
N: 0.000 0.000 0.500  0.18
I: 0.000 0.500 0.000  0.12
I: 0.500 0.000 0.000  0.12
Se: 0.500 0.500 0.500  0.93
Br: 0.000 0.000 0.000  0.08

Output
N(E_F) (states/eV/f.u.): 3.5
Space group: P4/mmm
Calculated density (Mg/m³): 3.55

Model 2:
# SeI2BrN

A relaxed SeI2BrN crystal (PBE-GGA, Alexandria via LeMat-Bulk).

Cell lengths 6.341, 6.341, 3.632 Å; angles 90.00, 90.00, 90.00 degrees
Fractional positions:
I: 0.000 0.500 0.000
Br: 0.500 0.500 0.500
N: 0.000 0.000 0.500
I: 0.500 0.000 0.000
Se: 0.000 0.000 0.000

Output
N(E_F) (states/eV/f.u.): 5.5
Space group: P4/mmm
Calculated density (Mg/m³): 4.85

On energetic grounds, model 2 is preferred over the next structure by 513 meV/atom.